[1]
K2PuCdO4 | the Alexandria database | PBE | relaxed; density of states at the Fermi level = 0.66 states/eV/atom; formation energy without anion corrections = -15.6 eV/f.u.
1.0
3.520 0.000 0.000
0.000 5.973 0.044
0.000 -2.147 6.232
O K Pu Cd
4 2 1 1
direct
0.500 0.252 0.188
0.000 0.292 0.805
0.000 0.708 0.195
0.500 0.748 0.812
0.000 0.500 0.500
0.500 0.000 0.500
0.500 0.500 0.000
0.000 0.000 0.000

=====

[2]
ReAgOs2 | the Alexandria database | PBE | relaxed; density of states at the Fermi level = 0.69 states/eV/atom; E above lowest polymorph = 70 meV per atom; formation enthalpy at 0 K = 32 kJ per mole of atoms
1.0
-7.657 2.594 4.839
-8.904 1.108 2.874
-7.905 -0.141 5.124
Os Ag Re
2 1 1
direct
0.750 0.750 0.750
0.006 0.006 0.006
0.250 0.250 0.250
0.494 0.494 0.494

=====

[3]
K3Fe | the Alexandria database | PBE | relaxed; density of states at the Fermi level = 1.58 states/eV/atom; E above lowest polymorph = 68 meV per atom; formation enthalpy at 0 K = 79 kJ per mole of atoms
1.0
-2.639 3.351 7.040
-5.316 -3.837 -4.978
2.276 -11.134 6.153
K Fe
12 4
direct
0.500 0.500 0.500
0.500 0.500 0.000
0.000 0.500 0.000
0.155 0.845 0.750
0.500 0.000 0.000
0.309 0.155 0.250
0.691 0.845 0.750
0.845 0.691 0.250
0.155 0.309 0.750
0.845 0.155 0.250
0.500 0.000 0.500
0.000 0.500 0.500
0.667 0.333 0.750
0.000 0.000 0.500
0.000 0.000 0.000
0.333 0.667 0.250